The following is a GGA-PBE calculation of a relaxed LaHfSe2N crystal, from the Alexandria database.

## Properties
Size of the total moment: 0.000 μB/f.u.
Formation energy without anion corrections: -1.225 eV per atom

Cell: 5.2622 5.2622 4.0722 Å, 90.00 90.00 90.00°
With the nearest neighbours (Å) after each atom.
Sites, in units of the cell vectors:
N: 0.0000 0.0000 0.5000  2 Hf 2.04
Hf: 0.0000 0.0000 0.0000  2 N 2.04
Se: 0.0000 0.5000 0.0000  2 Hf 2.63
Se: 0.5000 0.0000 0.0000  2 Hf 2.63
La: 0.5000 0.5000 0.5000  8 Se 3.33, 4 N 3.72

---

The following is a GGA-PBE calculation of a relaxed TbAlCo2 crystal, from the Alexandria database.

## Properties
Size of the total moment: 0.429 μB/f.u.
Total DFT energy (no corrections): -5.8633 eV per atom

Cell: 3.1100 3.1100 6.2742 Å, 90.00 90.00 90.00°
With the nearest neighbours (Å) after each atom.
Sites, in units of the cell vectors:
Co: 0.0000 0.0000 0.7941  4 Al 2.55, 1 Co 2.58
Co: 0.0000 0.0000 0.2059  4 Al 2.55, 1 Co 2.58
Tb: 0.5000 0.5000 0.5000  8 Co 2.87, 4 Tb 3.11, 2 Al 3.14
Al: 0.5000 0.5000 0.0000  8 Co 2.55

---

The following is a GGA-PBE calculation of a relaxed SmZn2Pd2Au crystal, from the Alexandria database.

## Properties
Size of the total moment: 0.000 μB/f.u.
Total DFT energy (no corrections): -3.6977 eV per atom

Cell: 4.7533 4.7533 5.6332 Å, 90.00 90.00 90.00°
With the nearest neighbours (Å) after each atom.
Sites, in units of the cell vectors:
Sm: 0.0000 0.0000 0.5000  2 Au 2.82
Zn: 0.5000 0.0000 0.0000  2 Au 2.38
Zn: 0.0000 0.5000 0.0000  2 Au 2.38
Pd: 0.5000 0.5000 0.7448  2 Pd 2.76-2.87, 4 Zn 2.78
Pd: 0.5000 0.5000 0.2552  2 Pd 2.76-2.87, 4 Zn 2.78
Au: 0.0000 0.0000 0.0000  4 Zn 2.38